This record from Alexandria via LeMat-Bulk describes an optimized crystal structure of Ag2MoN2. The functional is PBE.

It has space group P4/mbm (No. 127), with a = 6.890 Å, b = 6.890 Å, c = 2.782 Å, α = 90.00°, β = 90.00° and γ = 90.00°. The distinct sites, in fractional coordinates, are Ag at (0.132, 0.368, 0.000), Mo at (0.000, 0.000, 0.000) and N at (0.183, 0.683, 0.500).

As for the uncorrected formation energy: 1.87 eV per atom. The value obtained for the density of states at the Fermi level is 8.52 states/eV per cell. The electronic total energy comes out at -4.772 eV/atom.